1.
PrSm3Au3 after structural relaxation, computed with PBE.

The structure belongs to space group C2/m (No. 12); the cell edges are 9.753, 11.021 and 7.353 Å and the angles 90.00°, 90.96° and 90.00°. The asymmetric unit holds Pr at (0.242, 0.000, 0.359), Sm at (0.000, 0.251, 0.500), Sm at (0.000, 0.321, 0.000), Sm at (0.138, 0.000, 0.851), Au at (0.070, 0.500, 0.306) and Au at (0.245, 0.256, 0.231).

The magnetic moment is 0.0 μB per formula unit. The energy of formation is -0.593 eV per atom.

=====

2.
AcPaS after structural relaxation, computed with PBE.

The structure belongs to space group C2/m (No. 12); the cell edges are 5.969, 5.903 and 9.783 Å and the angles 90.00°, 91.81° and 90.00°. The asymmetric unit holds Ac at (0.241, 0.000, 0.329), Pa at (0.211, 0.500, 0.054) and S at (0.242, 0.500, 0.353).

The magnetic moment is 0.0 μB per formula unit. The uncorrected formation energy is -1.006 eV per atom.

=====

3.
BaSc3Si after structural relaxation, computed with PBE.

The structure belongs to space group Pm-3m (No. 221); the cell edges are 5.275, 5.275 and 5.275 Å and the angles 90.00°, 90.00° and 90.00°. The asymmetric unit holds Ba at (0.000, 0.000, 0.000), Sc at (0.000, 0.500, 0.500) and Si at (0.500, 0.500, 0.500).

The magnetic moment is 0.0 μB per formula unit. The energy above the most stable polymorph in this dataset comes out at 0 meV per atom. The uncorrected formation energy is 0.035 eV per atom.

=====

4.
LiErThFe after structural relaxation, computed with PBE.

The structure belongs to space group F-43m (No. 216); the cell edges are 6.934, 6.934 and 6.934 Å and the angles 90.00°, 90.00° and 90.00°. The asymmetric unit holds Li at (0.000, 0.000, 0.000), Er at (0.250, 0.250, 0.750), Th at (0.250, 0.250, 0.250) and Fe at (0.000, 0.000, 0.500).

The magnetic moment is 0.1 μB per formula unit. The energy of formation is 0.077 eV per atom.

=====

5.
SrNpNbO6 after structural relaxation, computed with PBE.

The structure belongs to space group P-31c (No. 163); the cell edges are 5.6115, 5.6115 and 10.5074 Å and the angles 90.00°, 90.00° and 120.00°. The asymmetric unit holds Sr at (0.0000, 0.0000, 0.0000), Np at (0.3333, 0.6667, 0.2500), Nb at (0.3333, 0.6667, 0.7500) and O at (0.0140, 0.3785, 0.6459).

The magnetic moment is 2.0 μB per formula unit. The uncorrected formation energy is -2.862 eV per atom.

=====

6.
Ti2Pd2Pt after structural relaxation, computed with PBE.

The structure belongs to space group Cmmm (No. 65); the cell edges are 3.720, 15.069 and 2.848 Å and the angles 90.00°, 90.00° and 90.00°. The asymmetric unit holds Ti at (0.000, 0.103, 0.000), Pd at (0.000, 0.314, 0.500) and Pt at (0.000, 0.500, 0.500).

The magnetic moment is 0.0 μB per formula unit. The energy of formation is -0.626 eV per atom. The energy above the most stable polymorph in this dataset comes out at 0 meV per atom.

=====

7.
LiDyHo after structural relaxation, computed with PBE.

The structure belongs to space group I4mm (No. 107); the cell edges are 3.616, 3.616 and 12.578 Å and the angles 90.00°, 90.00° and 90.00°. The asymmetric unit holds Li at (0.000, 0.000, 0.000), Dy at (0.000, 0.000, 0.345) and Ho at (0.000, 0.000, 0.654).

The magnetic moment is 0.0 μB per formula unit. The energy of formation is 0.094 eV per atom. The energy above the most stable polymorph in this dataset comes out at 41 meV per atom.

=====

8.
PmSnPdPt after structural relaxation, computed with PBE.

The structure belongs to space group R3m (No. 160, hexagonal axes); the cell edges are 4.6745, 4.6745 and 13.5062 Å and the angles 90.00°, 90.00° and 120.00°. The asymmetric unit holds Pm at (0.0000, 0.0000, 0.0000), Sn at (0.0000, 0.0000, 0.4973), Pd at (0.0000, 0.0000, 0.2204) and Pt at (0.0000, 0.0000, 0.7786).

The magnetic moment is 0.0 μB per formula unit. The energy of formation is -0.865 eV per atom.

=====

9.
LaPt2Rh after structural relaxation, computed with PBE.

The structure belongs to space group I-4m2 (No. 119); the cell edges are 4.259, 4.259 and 8.271 Å and the angles 90.00°, 90.00° and 90.00°. The asymmetric unit holds La at (0.000, 0.000, 0.000), Pt at (0.000, 0.000, 0.500), Pt at (0.000, 0.500, 0.750) and Rh at (0.000, 0.500, 0.250).

The magnetic moment is 0.0 μB per formula unit. The energy of formation is -0.565 eV per atom.

=====

10.
KPbCl2 after structural relaxation, computed with PBE.

The structure belongs to space group F-43m (No. 216); the cell edges are 7.766, 7.766 and 7.766 Å and the angles 90.00°, 90.00° and 90.00°. The asymmetric unit holds K at (0.000, 0.000, 0.000), Pb at (0.250, 0.250, 0.750), Cl at (0.000, 0.000, 0.500) and Cl at (0.250, 0.250, 0.250).

The magnetic moment is 0.7 μB per formula unit. The energy above the most stable polymorph in this dataset comes out at 664 meV per atom. The uncorrected formation energy is -0.585 eV per atom.

=====

11.
SmYSnHg after structural relaxation, computed with PBE.

The structure belongs to space group P4mm (No. 99); the cell edges are 3.819, 3.819 and 7.422 Å and the angles 90.00°, 90.00° and 90.00°. The asymmetric unit holds Sm at (0.000, 0.000, 0.000), Y at (0.000, 0.000, 0.507), Sn at (0.500, 0.500, 0.260) and Hg at (0.500, 0.500, 0.744).

The magnetic moment is 0.0 μB per formula unit. The energy of formation is -0.581 eV per atom. The energy above the most stable polymorph in this dataset comes out at 13 meV per atom.

=====

12.
PmMgAl after structural relaxation, computed with PBE.

The structure belongs to space group P-6m2 (No. 187); the cell edges are 4.8690, 4.8690 and 3.6551 Å and the angles 90.00°, 90.00° and 120.00°. The asymmetric unit holds Pm at (0.0000, 0.0000, 0.0000), Mg at (0.3333, 0.6667, 0.5000) and Al at (0.6667, 0.3333, 0.5000).

The magnetic moment is 0.0 μB per formula unit. The energy of formation is -0.252 eV per atom. The energy above the most stable polymorph in this dataset comes out at 66 meV per atom.